A relaxed structure of Pu2PO. Source: Alexandria, functional GGA-PBE.

abc: 3.6838 3.6838 6.9262
angles: 74.58 74.58 60.00
With the nearest neighbours (Å) after each atom.
Fractional positions:
1 Pu 0.0936 0.0936 0.7191  3 O 2.45
2 Pu 0.2482 0.2482 0.2555  3 P 2.75, 3 O 2.82, 1 Pu 3.06
3 P 0.6700 0.6700 0.9900  6 Pu 2.75-2.78
4 O 0.4882 0.4882 0.5354  3 Pu 2.45

Values from the calculation:
For the offset from the most stable computed form, the calculation gives 184 meV/atom. The value obtained for the formation energy (no corrections) is -6.5 eV/f.u. The size of the total moment is 2.737 μB/atom.

---

A relaxed structure of Er3Si3Ru2. Source: Alexandria, functional GGA-PBE.

abc: 5.6714 7.8712 13.9211
angles: 90.00 90.00 90.00
With the nearest neighbours (Å) after each atom.
Fractional positions:
1 Er 0.1203 0.4537 0.3869  7 Si 2.96-3.30, 4 Ru 2.98-3.23
2 Er 0.6203 0.0463 0.6131  7 Si 2.96-3.30, 4 Ru 2.98-3.23
3 Er 0.8797 0.5463 0.8869  7 Si 2.96-3.30, 4 Ru 2.98-3.23
4 Er 0.3797 0.9537 0.1131  7 Si 2.96-3.30, 4 Ru 2.98-3.23
5 Er 0.8797 0.5463 0.6131  7 Si 2.96-3.30, 4 Ru 2.98-3.23
6 Er 0.3797 0.9537 0.3869  7 Si 2.96-3.30, 4 Ru 2.98-3.23
7 Er 0.1203 0.4537 0.1131  7 Si 2.96-3.30, 4 Ru 2.98-3.23
8 Er 0.6203 0.0463 0.8869  7 Si 2.96-3.30, 4 Ru 2.98-3.23
9 Er 0.6290 0.3129 0.2500  5 Si 2.92-3.25, 4 Ru 3.15-3.21
10 Er 0.1290 0.1871 0.7500  5 Si 2.92-3.25, 4 Ru 3.15-3.21
11 Er 0.3710 0.6871 0.7500  5 Si 2.92-3.25, 4 Ru 3.15-3.21
12 Er 0.8710 0.8129 0.2500  5 Si 2.92-3.25, 4 Ru 3.15-3.21
13 Si 0.0981 0.1579 0.2500  2 Ru 2.58
14 Si 0.5981 0.3421 0.7500  2 Ru 2.58
15 Si 0.9019 0.8421 0.7500  2 Ru 2.58
16 Si 0.4019 0.6579 0.2500  2 Ru 2.58
17 Si 0.6359 0.3070 0.4594  3 Ru 2.34-2.40
18 Si 0.1359 0.1930 0.5406  3 Ru 2.34-2.40
19 Si 0.3641 0.6930 0.9594  3 Ru 2.34-2.40
20 Si 0.8641 0.8070 0.0406  3 Ru 2.34-2.40
21 Si 0.3641 0.6930 0.5406  3 Ru 2.34-2.40
22 Si 0.8641 0.8070 0.4594  3 Ru 2.34-2.40
23 Si 0.6359 0.3070 0.0406  3 Ru 2.34-2.40
24 Si 0.1359 0.1930 0.9594  3 Ru 2.34-2.40
25 Ru 0.8940 0.0920 0.4115  4 Si 2.34-2.58
26 Ru 0.3940 0.4080 0.5885  4 Si 2.34-2.58
27 Ru 0.1060 0.9080 0.9115  4 Si 2.34-2.58
28 Ru 0.6060 0.5920 0.0885  4 Si 2.34-2.58
29 Ru 0.1060 0.9080 0.5885  4 Si 2.34-2.58
30 Ru 0.6060 0.5920 0.4115  4 Si 2.34-2.58
31 Ru 0.8940 0.0920 0.0885  4 Si 2.34-2.58
32 Ru 0.3940 0.4080 0.9115  4 Si 2.34-2.58

Values from the calculation:
The value obtained for the formation energy (no corrections) is -6.6 eV/f.u. The size of the total moment is 0.000 μB/atom.

---

A relaxed structure of PmNd2GaN. Source: Alexandria, functional GGA-PBE.

abc: 4.9285 4.9758 4.9758
angles: 90.00 90.00 90.00
With the nearest neighbours (Å) after each atom.
Fractional positions:
1 Pm 0.5000 0.0000 0.0000  2 N 2.46
2 Nd 0.0000 0.0000 0.5000  2 N 2.49
3 Nd 0.0000 0.5000 0.0000  2 N 2.49
4 Ga 0.5000 0.5000 0.5000  8 Nd 3.50, 4 Pm 3.52
5 N 0.0000 0.0000 0.0000  2 Pm 2.46, 4 Nd 2.49

Values from the calculation:
The value obtained for the formation energy (no corrections) is -4.1 eV/f.u. The size of the total moment is 0.000 μB/atom.

---

A relaxed structure of KNaTlO2. Source: Alexandria, functional GGA-PBE.

abc: 5.7498 6.5621 6.6748
angles: 99.63 90.00 90.00
With the nearest neighbours (Å) after each atom.
Fractional positions:
1 K 0.3937 0.5000 0.7500  4 O 2.78-2.90
2 K 0.6063 0.5000 0.2500  4 O 2.78-2.90
3 Na 0.0000 0.0000 0.0000  2 O 2.29
4 Na 0.0000 0.0000 0.5000  2 O 2.29
5 Tl 0.4527 0.0000 0.2500  4 O 2.27-2.45
6 Tl 0.5473 0.0000 0.7500  4 O 2.27-2.45
7 O 0.6735 0.8029 0.0111  2 Tl 2.27-2.45, 1 Na 2.29
8 O 0.6735 0.1971 0.4889  2 Tl 2.27-2.45, 1 Na 2.29
9 O 0.3265 0.8029 0.5111  2 Tl 2.27-2.45, 1 Na 2.29
10 O 0.3265 0.1971 0.9889  2 Tl 2.27-2.45, 1 Na 2.29

Values from the calculation:
The value obtained for the formation energy (no corrections) is -4.4 eV/f.u. The size of the total moment is 0.000 μB/atom.

---

A relaxed structure of Mg2CdInPb. Source: Alexandria, functional GGA-PBE.

abc: 4.6543 7.4375 7.2087
angles: 92.57 90.00 90.00
With the nearest neighbours (Å) after each atom.
Fractional positions:
1 Mg 0.7500 0.8461 0.5438  3 In 3.11-3.40, 3 Pb 3.19-3.23, 3 Cd 3.19-3.32, 3 Mg 3.34-3.36
2 Mg 0.7500 0.6450 0.9516  3 In 3.19-3.24, 3 Cd 3.20-3.26, 3 Mg 3.27-3.36, 3 Pb 3.32-3.40
3 Mg 0.2500 0.1539 0.4562  3 In 3.11-3.40, 3 Pb 3.19-3.23, 3 Cd 3.19-3.32, 3 Mg 3.34-3.36
4 Mg 0.2500 0.3550 0.0484  3 In 3.19-3.24, 3 Cd 3.20-3.26, 3 Mg 3.27-3.36, 3 Pb 3.32-3.40
5 Cd 0.2500 0.7442 0.2552  6 Mg 3.19-3.32, 3 In 3.20-3.33, 3 Pb 3.40-3.41
6 Cd 0.7500 0.2558 0.7448  6 Mg 3.19-3.32, 3 In 3.20-3.33, 3 Pb 3.40-3.41
7 In 0.2500 0.5344 0.6542  6 Mg 3.11-3.40, 3 Cd 3.20-3.33, 1 Pb 3.21, 2 In 3.24
8 In 0.7500 0.4656 0.3458  6 Mg 3.11-3.40, 3 Cd 3.20-3.33, 1 Pb 3.21, 2 In 3.24
9 Pb 0.2500 0.9374 0.8351  6 Mg 3.19-3.40, 1 In 3.21, 3 Cd 3.40-3.41, 2 Pb 3.43
10 Pb 0.7500 0.0626 0.1649  6 Mg 3.19-3.40, 1 In 3.21, 3 Cd 3.40-3.41, 2 Pb 3.43

Values from the calculation:
The energy of formation from the pure elements is -14.8 kJ/mol of formula units. The size of the total moment is 0.000 μB/atom.

---

A relaxed structure of BiRu. Source: Alexandria, functional GGA-PBE.

abc: 7.4727 7.4727 7.4727
angles: 90.00 90.00 90.00
With the nearest neighbours (Å) after each atom.
Fractional positions:
1 Bi 0.2500 0.0000 0.5000  4 Ru 2.64
2 Bi 0.7500 0.0000 0.5000  4 Ru 2.64
3 Bi 0.0000 0.5000 0.2500  4 Ru 2.64
4 Bi 0.0000 0.5000 0.7500  4 Ru 2.64
5 Bi 0.5000 0.2500 0.0000  4 Ru 2.64
6 Bi 0.5000 0.7500 0.0000  4 Ru 2.64
7 Ru 0.2500 0.5000 0.0000  4 Bi 2.64
8 Ru 0.7500 0.5000 0.0000  4 Bi 2.64
9 Ru 0.5000 0.0000 0.2500  4 Bi 2.64
10 Ru 0.5000 0.0000 0.7500  4 Bi 2.64
11 Ru 0.0000 0.2500 0.5000  4 Bi 2.64
12 Ru 0.0000 0.7500 0.5000  4 Bi 2.64

Values from the calculation:
The energy of formation from the pure elements is 199.2 kJ/mol of formula units. The size of the total moment is 0.000 μB/atom.